Record 1
{
  "formula": "USiMo",
  "functional": "PBE-GGA",
  "state": "relaxed",
  "e_tot_ev_per_atom": -9.33,
  "e_form_raw_ev_per_atom": -0.149,
  "density_g_cm3": 11.730,
  "total_magnetization_mub_per_fu": 0.0,
  "lattice": [[7.298, 0.000, 0.000], [0.000, 5.901, 0.000], [-1.519, 0.000, 4.761]],
  "species": ["U", "U", "U", "U", "Si", "Si", "Si", "Si", "Mo", "Mo", "Mo", "Mo"],
  "frac_coords": [[0.149, 0.140, 0.154], [0.149, 0.360, 0.654], [0.851, 0.640, 0.346], [0.851, 0.860, 0.846], [0.208, 0.643, 0.214], [0.208, 0.857, 0.714], [0.792, 0.143, 0.286], [0.792, 0.357, 0.786], [0.484, 0.135, 0.767], [0.484, 0.365, 0.267], [0.516, 0.635, 0.733], [0.516, 0.865, 0.233]]
}

Record 2
{
  "formula": "CsH2Ir",
  "functional": "PBE-GGA",
  "state": "relaxed",
  "e_tot_ev_per_atom": -3.88,
  "density_g_cm3": 7.901,
  "e_above_lowest_polymorph_mev_per_atom": 0,
  "total_magnetization_mub_per_fu": 0.0,
  "lattice": [[-2.895, 2.895, 4.102], [2.895, -2.895, 4.102], [2.895, 2.895, -4.102]],
  "species": ["Cs", "Cs", "H", "H", "H", "H", "Ir", "Ir"],
  "frac_coords": [[0.000, 0.000, 0.000], [0.750, 0.250, 0.500], [0.373, 0.125, 0.748], [0.375, 0.627, 0.752], [0.377, 0.625, 0.252], [0.875, 0.623, 0.248], [0.250, 0.750, 0.500], [0.500, 0.500, 0.000]]
}

Record 3
{
  "formula": "La6Pr2Co",
  "functional": "PBE-GGA",
  "state": "relaxed",
  "e_tot_ev_per_atom": -5.14,
  "ef_ev_per_atom": -0.0012,
  "density_g_cm3": 6.173,
  "total_magnetization_mub_per_fu": 0.0,
  "lattice": [[-3.802, 4.418, 4.702], [3.802, -4.418, 4.702], [3.802, 4.418, -4.702]],
  "species": ["La", "La", "La", "La", "La", "La", "Pr", "Pr", "Co"],
  "frac_coords": [[0.197, 0.000, 0.197], [0.289, 0.037, 0.749], [0.289, 0.540, 0.251], [0.711, 0.460, 0.749], [0.711, 0.963, 0.251], [0.803, 0.000, 0.803], [0.199, 0.500, 0.699], [0.801, 0.500, 0.301], [0.500, 0.000, 0.500]]
}

Record 4
{
  "formula": "YHoGa6",
  "functional": "PBE-GGA",
  "state": "relaxed",
  "e_tot_ev_per_atom": -4.18,
  "ef_ev_per_atom": -0.5296,
  "density_g_cm3": 7.178,
  "total_magnetization_mub_per_fu": 0.0,
  "lattice": [[6.251, 0.000, 0.000], [-3.125, 5.413, 0.000], [0.000, 0.000, 4.594]],
  "species": ["Y", "Ho", "Ga", "Ga", "Ga", "Ga", "Ga", "Ga"],
  "frac_coords": [[0.000, 0.000, 0.000], [0.667, 0.333, 0.500], [0.038, 0.519, 0.000], [0.186, 0.373, 0.500], [0.186, 0.814, 0.500], [0.481, 0.519, 0.000], [0.481, 0.962, 0.000], [0.627, 0.814, 0.500]]
}

Record 5
{
  "formula": "PrTh4As6",
  "functional": "PBE-GGA",
  "state": "relaxed",
  "e_tot_ev_per_atom": -6.81,
  "ef_ev_per_atom": -1.1462,
  "density_g_cm3": 8.638,
  "total_magnetization_mub_per_fu": 0.0,
  "lattice": [[5.898, 3.405, 4.845], [-5.898, 3.405, 4.845], [0.000, -6.811, 4.845]],
  "species": ["Pr", "Pr", "Th", "Th", "Th", "Th", "Th", "Th", "Th", "Th", "As", "As", "As", "As", "As", "As", "As", "As", "As", "As", "As", "As"],
  "frac_coords": [[0.000, 0.000, 0.000], [0.500, 0.500, 0.500], [0.136, 0.750, 0.364], [0.250, 0.250, 0.250], [0.250, 0.636, 0.864], [0.364, 0.136, 0.750], [0.636, 0.864, 0.250], [0.750, 0.364, 0.136], [0.750, 0.750, 0.750], [0.864, 0.250, 0.636], [0.064, 0.915, 0.671], [0.085, 0.329, 0.936], [0.171, 0.415, 0.564], [0.329, 0.936, 0.085], [0.415, 0.564, 0.171], [0.436, 0.829, 0.585], [0.564, 0.171, 0.415], [0.585, 0.436, 0.829], [0.671, 0.064, 0.915], [0.829, 0.585, 0.436], [0.915, 0.671, 0.064], [0.936, 0.085, 0.329]]
}

Record 6
{
  "formula": "WSBr",
  "functional": "PBE-GGA",
  "state": "relaxed",
  "e_tot_ev_per_atom": -6.64,
  "e_form_raw_ev_per_atom": -0.388,
  "density_g_cm3": 5.210,
  "e_above_lowest_polymorph_mev_per_atom": 0,
  "total_magnetization_mub_per_fu": 0.0,
  "lattice": [[7.536, -1.711, 0.000], [7.536, 1.711, 0.000], [-1.277, 0.000, 7.312]],
  "species": ["W", "W", "S", "S", "Br", "Br"],
  "frac_coords": [[0.191, 0.191, 0.042], [0.809, 0.809, 0.958], [0.343, 0.343, 0.187], [0.657, 0.657, 0.813], [0.103, 0.103, 0.287], [0.897, 0.897, 0.713]]
}

Record 7
{
  "formula": "ThAlGa4Cu2",
  "functional": "PBE-GGA",
  "state": "relaxed",
  "e_tot_ev_per_atom": -4.11,
  "ef_ev_per_atom": -0.1784,
  "density_g_cm3": 7.383,
  "total_magnetization_mub_per_fu": 0.0,
  "lattice": [[2.147, 1.239, 9.370], [-2.147, 1.239, 9.370], [0.000, -2.479, 9.370]],
  "species": ["Th", "Al", "Ga", "Ga", "Ga", "Ga", "Cu", "Cu"],
  "frac_coords": [[0.000, 0.000, 0.000], [0.500, 0.500, 0.500], [0.121, 0.121, 0.121], [0.403, 0.403, 0.403], [0.597, 0.597, 0.597], [0.879, 0.879, 0.879], [0.266, 0.266, 0.266], [0.734, 0.734, 0.734]]
}